## K2Hg3C8N8O8 (GGA-PBE)

Data for a relaxed structure of K2Hg3C8N8O8.

Properties
Its total energy is -6.819 eV/atom. For the raw formation energy, the calculation gives -0.503 eV per atom.

Cell lengths 4.121, 10.754, 11.251 Å; angles 91.45, 94.32, 94.49 degrees
Positions (direct):
K1 0.228 0.486 0.282
K2 0.772 0.514 0.718
Hg1 0.000 0.000 0.500
Hg2 0.298 0.882 0.115
Hg3 0.702 0.118 0.885
C1 0.203 0.237 0.703
C2 0.231 0.149 0.174
C3 0.279 0.755 0.555
C4 0.291 0.637 0.985
C5 0.709 0.363 0.015
C6 0.721 0.245 0.445
C7 0.769 0.851 0.826
C8 0.797 0.763 0.297
N1 0.178 0.132 0.738
N2 0.253 0.688 0.079
N3 0.313 0.864 0.533
N4 0.321 0.075 0.103
N5 0.679 0.925 0.897
N6 0.687 0.136 0.467
N7 0.747 0.312 0.921
N8 0.822 0.868 0.262
O1 0.147 0.228 0.239
O2 0.228 0.343 0.667
O3 0.275 0.646 0.578
O4 0.321 0.578 0.895
O5 0.679 0.422 0.105
O6 0.725 0.354 0.422
O7 0.772 0.657 0.333
O8 0.853 0.772 0.761